[1]
{"formula": "Rb2FePbBr6", "functional": "PBE", "state": "relaxed", "lattice": [[-3.966, 3.966, 5.626], [3.966, -3.966, 5.626], [3.966, 3.966, -5.626]], "species": ["Rb", "Rb", "Fe", "Pb", "Br", "Br", "Br", "Br", "Br", "Br"], "frac_coords": [[0.250, 0.750, 0.500], [0.750, 0.250, 0.500], [0.000, 0.000, 0.000], [0.500, 0.500, 0.000], [0.233, 0.233, 0.467], [0.233, 0.767, 0.000], [0.234, 0.234, 0.000], [0.766, 0.766, 0.000], [0.767, 0.233, 0.000], [0.767, 0.767, 0.533]], "n_ef_per_ev_cell": 18.60, "polymorph_energy_ev_per_fu": 0.21, "total_energy_ev_per_cell": -34.76}

=====

[2]
{"formula": "Ho2MnPd8", "functional": "PBE", "state": "relaxed", "lattice": [[7.550, -2.260, 0.000], [7.550, 2.260, 0.000], [-2.397, 0.000, 5.664]], "species": ["Ho", "Ho", "Mn", "Pd", "Pd", "Pd", "Pd", "Pd", "Pd", "Pd", "Pd"], "frac_coords": [[0.198, 0.198, 0.192], [0.802, 0.802, 0.808], [0.500, 0.500, 0.500], [0.003, 0.003, 0.237], [0.169, 0.169, 0.671], [0.364, 0.364, 0.634], [0.371, 0.371, 0.093], [0.629, 0.629, 0.907], [0.636, 0.636, 0.366], [0.831, 0.831, 0.329], [0.997, 0.997, 0.763]], "n_ef_per_ev_cell": 4.18, "delta_e_f_ev_per_atom": -0.54, "total_energy_ev_per_cell": -65.80}

=====

[3]
{"formula": "TbNd7Ho5", "functional": "PBE", "state": "relaxed", "lattice": [[-3.366, 5.689, 5.866], [3.366, -5.689, 5.866], [3.366, 5.689, -5.866]], "species": ["Tb", "Nd", "Nd", "Nd", "Nd", "Nd", "Nd", "Nd", "Ho", "Ho", "Ho", "Ho", "Ho"], "frac_coords": [[0.000, 0.000, 0.000], [0.234, 0.562, 0.672], [0.310, 0.310, 0.000], [0.313, 0.813, 0.500], [0.393, 0.067, 0.326], [0.621, 0.621, 0.000], [0.741, 0.067, 0.674], [0.890, 0.562, 0.328], [0.045, 0.049, 0.464], [0.045, 0.582, 0.997], [0.585, 0.049, 0.003], [0.585, 0.582, 0.536], [0.815, 0.315, 0.500]], "n_ef_per_ev_cell": 22.26, "delta_e_f_ev_per_atom": 0.23, "total_energy_ev_per_cell": -57.93}

=====

[4]
{"formula": "PrZn3Cu", "functional": "PBE", "state": "relaxed", "lattice": [[2.939, -5.356, 0.000], [2.939, 5.356, 0.000], [0.000, 0.000, 6.000]], "species": ["Pr", "Pr", "Zn", "Zn", "Zn", "Zn", "Zn", "Zn", "Cu", "Cu"], "frac_coords": [[0.239, 0.761, 0.750], [0.761, 0.239, 0.250], [0.126, 0.874, 0.250], [0.275, 0.275, 0.000], [0.275, 0.275, 0.500], [0.725, 0.725, 0.000], [0.725, 0.725, 0.500], [0.874, 0.126, 0.750], [0.355, 0.645, 0.250], [0.645, 0.355, 0.750]], "n_ef_per_ev_cell": 4.57, "delta_e_f_ev_per_atom": -0.27, "polymorph_energy_ev_per_fu": 0.00, "total_energy_ev_per_cell": -28.07}

=====

[5]
{"formula": "DyCu2Ni9", "functional": "PBE", "state": "relaxed", "lattice": [[8.071, 0.000, 0.000], [-4.035, 6.990, 0.000], [0.000, 0.000, 2.604]], "species": ["Dy", "Cu", "Cu", "Ni", "Ni", "Ni", "Ni", "Ni", "Ni", "Ni", "Ni", "Ni"], "frac_coords": [[0.000, 0.000, 0.000], [0.333, 0.667, 0.000], [0.667, 0.333, 0.000], [0.000, 0.500, 0.000], [0.182, 0.364, 0.500], [0.182, 0.818, 0.500], [0.364, 0.182, 0.500], [0.500, 0.000, 0.000], [0.500, 0.500, 0.000], [0.636, 0.818, 0.500], [0.818, 0.182, 0.500], [0.818, 0.636, 0.500]], "n_ef_per_ev_cell": 16.48, "delta_e_f_ev_per_atom": 0.07, "polymorph_energy_ev_per_fu": 2.50, "total_energy_ev_per_cell": -63.94}

=====

[6]
{"formula": "Cs2UNb3O12", "functional": "PBE", "state": "relaxed", "lattice": [[3.781, 2.183, 6.395], [-3.781, 2.183, 6.395], [0.000, -4.366, 6.395]], "species": ["Cs", "Cs", "U", "Nb", "Nb", "Nb", "O", "O", "O", "O", "O", "O", "O", "O", "O", "O", "O", "O"], "frac_coords": [[0.116, 0.116, 0.116], [0.884, 0.884, 0.884], [0.500, 0.500, 0.500], [0.000, 0.500, 0.500], [0.500, 0.000, 0.500], [0.500, 0.500, 0.000], [0.181, 0.564, 0.564], [0.192, 0.192, 0.564], [0.192, 0.564, 0.192], [0.436, 0.436, 0.819], [0.436, 0.808, 0.808], [0.436, 0.819, 0.436], [0.564, 0.181, 0.564], [0.564, 0.192, 0.192], [0.564, 0.564, 0.181], [0.808, 0.436, 0.808], [0.808, 0.808, 0.436], [0.819, 0.436, 0.436]], "n_ef_per_ev_cell": 10.71, "total_energy_ev_per_cell": -148.08}

=====

[7]
{"formula": "AcTm8Pb6", "functional": "PBE", "state": "relaxed", "lattice": [[4.575, 2.641, 6.573], [-4.575, 2.641, 6.573], [0.000, -5.283, 6.573]], "species": ["Ac", "Tm", "Tm", "Tm", "Tm", "Tm", "Tm", "Tm", "Tm", "Pb", "Pb", "Pb", "Pb", "Pb", "Pb"], "frac_coords": [[0.000, 0.000, 0.000], [0.107, 0.779, 0.433], [0.221, 0.567, 0.893], [0.333, 0.333, 0.333], [0.433, 0.107, 0.779], [0.567, 0.893, 0.221], [0.667, 0.667, 0.667], [0.779, 0.433, 0.107], [0.893, 0.221, 0.567], [0.070, 0.417, 0.723], [0.277, 0.930, 0.583], [0.417, 0.723, 0.070], [0.583, 0.277, 0.930], [0.723, 0.070, 0.417], [0.930, 0.583, 0.277]], "n_ef_per_ev_cell": 10.89, "delta_e_f_ev_per_atom": -0.28, "total_energy_ev_per_cell": -66.33}

=====

[8]
{"formula": "K2PrInBr6", "functional": "PBE", "state": "relaxed", "lattice": [[8.169, 0.000, 0.000], [4.084, 7.082, 0.000], [4.081, 2.360, 7.129]], "species": ["K", "K", "Pr", "In", "Br", "Br", "Br", "Br", "Br", "Br"], "frac_coords": [[0.000, 0.000, 0.000], [0.491, 0.490, 0.527], [0.794, 0.794, 0.617], [0.285, 0.285, 0.145], [0.046, 0.679, 0.832], [0.153, 0.591, 0.357], [0.443, 0.046, 0.833], [0.591, 0.899, 0.357], [0.679, 0.443, 0.833], [0.899, 0.153, 0.357]], "n_ef_per_ev_cell": 0.00, "total_energy_ev_per_cell": -35.72}

=====

[9]
{"formula": "AcEu2Pb", "functional": "PBE", "state": "relaxed", "lattice": [[5.162, 0.000, 0.000], [0.000, 5.162, 0.000], [0.000, 0.000, 5.385]], "species": ["Ac", "Eu", "Eu", "Pb"], "frac_coords": [[0.000, 0.000, 0.000], [0.000, 0.500, 0.500], [0.500, 0.000, 0.500], [0.500, 0.500, 0.000]], "n_ef_per_ev_cell": 3.80, "delta_e_f_ev_per_atom": -0.30, "polymorph_energy_ev_per_fu": 0.00, "total_energy_ev_per_cell": -29.59}

=====

[10]
{"formula": "Nb6TcMo3", "functional": "PBE", "state": "relaxed", "lattice": [[7.948, 0.000, 0.000], [0.000, 4.585, 0.000], [-2.642, 0.000, 9.343]], "species": ["Nb", "Nb", "Nb", "Nb", "Nb", "Nb", "Nb", "Nb", "Nb", "Nb", "Nb", "Nb", "Tc", "Tc", "Mo", "Mo", "Mo", "Mo", "Mo", "Mo"], "frac_coords": [[0.046, 0.250, 0.399], [0.146, 0.750, 0.196], [0.253, 0.250, 0.998], [0.349, 0.750, 0.804], [0.350, 0.250, 0.299], [0.447, 0.250, 0.603], [0.553, 0.750, 0.397], [0.650, 0.750, 0.701], [0.651, 0.250, 0.196], [0.747, 0.750, 0.002], [0.854, 0.250, 0.804], [0.954, 0.750, 0.601], [0.450, 0.750, 0.099], [0.550, 0.250, 0.901], [0.049, 0.750, 0.899], [0.150, 0.250, 0.701], [0.252, 0.750, 0.500], [0.748, 0.250, 0.500], [0.850, 0.750, 0.299], [0.951, 0.250, 0.101]], "n_ef_per_ev_cell": 12.91, "delta_e_f_ev_per_atom": -0.16, "total_energy_ev_per_cell": -209.80}

=====

[11]
{"formula": "Na2AlIr", "functional": "PBE", "state": "relaxed", "lattice": [[-1.847, 1.847, 10.871], [1.847, -1.847, 10.871], [1.847, 1.847, -10.871]], "species": ["Na", "Na", "Na", "Na", "Al", "Al", "Ir", "Ir"], "frac_coords": [[0.118, 0.625, 0.993], [0.375, 0.368, 0.493], [0.632, 0.125, 0.007], [0.875, 0.882, 0.507], [0.250, 0.750, 0.500], [0.500, 0.500, 0.000], [0.000, 0.000, 0.000], [0.750, 0.250, 0.500]], "n_ef_per_ev_cell": 3.59, "delta_e_f_ev_per_atom": 0.23, "polymorph_energy_ev_per_fu": 0.00, "total_energy_ev_per_cell": -28.65}

=====

[12]
{"formula": "Tb2Ho2Ga4Au", "functional": "PBE", "state": "relaxed", "lattice": [[-3.510, 3.510, 4.427], [3.510, -3.510, 4.427], [3.510, 3.510, -4.427]], "species": ["Tb", "Tb", "Ho", "Ho", "Ga", "Ga", "Ga", "Ga", "Au"], "frac_coords": [[0.250, 0.750, 0.500], [0.750, 0.250, 0.500], [0.186, 0.186, 0.000], [0.814, 0.814, 0.000], [0.245, 0.245, 0.491], [0.245, 0.755, 0.000], [0.755, 0.245, 0.000], [0.755, 0.755, 0.509], [0.500, 0.500, 0.000]], "n_ef_per_ev_cell": 7.21, "delta_e_f_ev_per_atom": -0.35, "total_energy_ev_per_cell": -36.96}

=====

[13]
{"formula": "ScReOs2", "functional": "PBE", "state": "relaxed", "lattice": [[3.208, -3.212, 0.000], [3.208, 3.212, 0.000], [0.000, 0.000, 3.011]], "species": ["Sc", "Re", "Os", "Os"], "frac_coords": [[0.000, 0.000, 0.000], [0.500, 0.500, 0.000], [0.000, 0.500, 0.500], [0.500, 0.000, 0.500]], "n_ef_per_ev_cell": 3.85, "delta_e_f_ev_per_atom": -0.01, "total_energy_ev_per_cell": -41.27}

=====

[14]
{"formula": "Ca2GaMoP", "functional": "PBE", "state": "relaxed", "lattice": [[5.699, 0.000, 0.000], [0.000, 5.699, 0.000], [0.000, 0.000, 4.566]], "species": ["Ca", "Ca", "Ga", "Mo", "P"], "frac_coords": [[0.000, 0.500, 0.000], [0.500, 0.000, 0.000], [0.000, 0.000, 0.000], [0.500, 0.500, 0.500], [0.000, 0.000, 0.500]], "n_ef_per_ev_cell": 3.49, "delta_e_f_ev_per_atom": 0.82, "total_energy_ev_per_cell": -19.17}